{
  "formula": "Ce4Tm11S22",
  "functional": "PBE-GGA",
  "state": "optimized geometry",
  "raw_formation_energy_ev_per_atom": -2.08,
  "lattice": [[19.4803, -1.9592, 0.0000], [19.4803, 1.9592, 0.0000], [-0.2824, 0.0000, 11.2629]],
  "species": ["Ce", "Ce", "Ce", "Ce", "Tm", "Tm", "Tm", "Tm", "Tm", "Tm", "Tm", "Tm", "Tm", "Tm", "Tm", "S", "S", "S", "S", "S", "S", "S", "S", "S", "S", "S", "S", "S", "S", "S", "S", "S", "S", "S", "S", "S", "S"],
  "frac_coords": [[0.1048, 0.1048, 0.0123], [0.3670, 0.3670, 0.3487], [0.6330, 0.6330, 0.6513], [0.8952, 0.8952, 0.9877], [0.0000, 0.0000, 0.0000], [0.0698, 0.0698, 0.3602], [0.2023, 0.2023, 0.9411], [0.2637, 0.2637, 0.3515], [0.3422, 0.3422, 0.6988], [0.4614, 0.4614, 0.2690], [0.5386, 0.5386, 0.7310], [0.6578, 0.6578, 0.3012], [0.7363, 0.7363, 0.6485], [0.7977, 0.7977, 0.0589], [0.9302, 0.9302, 0.6398], [0.0077, 0.0077, 0.2402], [0.0879, 0.0879, 0.7530], [0.1347, 0.1347, 0.4528], [0.1690, 0.1690, 0.1507], [0.1891, 0.1891, 0.6907], [0.2549, 0.2549, 0.1191], [0.2801, 0.2801, 0.5899], [0.3501, 0.3501, 0.0914], [0.4066, 0.4066, 0.7886], [0.4449, 0.4449, 0.4937], [0.4532, 0.4532, 0.0291], [0.5468, 0.5468, 0.9709], [0.5551, 0.5551, 0.5063], [0.5934, 0.5934, 0.2114], [0.6499, 0.6499, 0.9086], [0.7199, 0.7199, 0.4101], [0.7451, 0.7451, 0.8809], [0.8109, 0.8109, 0.3093], [0.8310, 0.8310, 0.8493], [0.8653, 0.8653, 0.5472], [0.9121, 0.9121, 0.2470], [0.9923, 0.9923, 0.7598]]
}